A relaxed structure of Na2Ac2US6. Source: Alexandria, functional PBE.

Computed properties:
Electronic total energy, eV per formula unit: -65.22
SG: No. 12
Formation energy without anion corrections, meV/atom: -1665

Cell lengths 7.422, 7.422, 7.047 Å; angles 99.30, 99.30, 119.38 degrees
Positions (direct):
Na 0.159 0.841 0.000
Na 0.841 0.159 0.000
Ac 0.335 0.665 0.500
Ac 0.665 0.335 0.500
U 0.000 0.000 0.500
S 0.062 0.378 0.724
S 0.230 0.230 0.275
S 0.378 0.062 0.724
S 0.622 0.938 0.276
S 0.770 0.770 0.725
S 0.938 0.622 0.276

=====

A relaxed structure of Ac14DyTl. Source: Alexandria, functional PBE.

Computed properties:
Electronic total energy, eV per formula unit: -64.64
SG: No. 38

Cell lengths 11.142, 7.814, 7.814 Å; angles 89.97, 90.00, 90.00 degrees
Positions (direct):
Ac 0.000 0.000 0.000
Ac 0.000 0.000 0.498
Ac 0.000 0.498 0.000
Ac 0.000 0.499 0.499
Ac 0.256 0.749 0.749
Ac 0.258 0.250 0.749
Ac 0.258 0.749 0.250
Ac 0.259 0.250 0.250
Ac 0.500 0.500 0.997
Ac 0.500 0.997 0.500
Ac 0.741 0.250 0.250
Ac 0.742 0.250 0.749
Ac 0.742 0.749 0.250
Ac 0.744 0.749 0.749
Dy 0.500 0.999 0.999
Tl 0.500 0.499 0.499

=====

A relaxed structure of BaRe2Au. Source: Alexandria, functional PBE.

Computed properties:
Electronic total energy, eV per formula unit: -27.55
SG: No. 12

Cell lengths 5.097, 5.097, 6.007 Å; angles 105.25, 105.25, 45.03 degrees
Positions (direct):
Ba 0.000 0.000 0.000
Re 0.223 0.223 0.593
Re 0.777 0.777 0.407
Au 0.500 0.500 0.500

=====

A relaxed structure of As2IBrF. Source: Alexandria, functional PBE.

Computed properties:
Electronic total energy, eV per formula unit: -12.60
SG: No. 123
Formation energy without anion corrections, meV/atom: 358

Cell lengths 4.454, 4.454, 7.082 Å; angles 90.00, 90.00, 90.00 degrees
Positions (direct):
As 0.000 0.500 0.000
As 0.500 0.000 0.000
I 0.000 0.000 0.500
Br 0.500 0.500 0.500
F 0.500 0.500 0.000